No. 1
## K2ScTc2 (GGA-PBE)

Data for an optimized crystal structure of K2ScTc2.

Computed properties:
The calculation puts the formation energy at 126.0 kJ/mol of atoms. The value obtained for the energy above the most stable polymorph in this dataset is 199 meV/atom. As for the calculated total energy: -45.461 eV/cell.

Unit cell a=9.924 b=9.924 c=2.835 alpha=90.00 beta=90.00 gamma=90.00
Atoms (fractional coordinates):
K1 0.208 0.292 0.000
K2 0.292 0.792 0.000
K3 0.708 0.208 0.000
K4 0.792 0.708 0.000
Sc1 0.000 0.000 0.500
Sc2 0.500 0.500 0.500
Tc1 0.077 0.577 0.500
Tc2 0.423 0.077 0.500
Tc3 0.577 0.923 0.500
Tc4 0.923 0.423 0.500



No. 2
## KScTc2 (GGA-PBE)

Data for an optimized crystal structure of KScTc2.

Computed properties:
The calculation puts the formation energy at 117.5 kJ/mol of atoms. The value obtained for the energy above the most stable polymorph in this dataset is 840 meV/atom. As for the calculated total energy: -46.577 eV/cell.

Unit cell a=10.180 b=10.180 c=10.180 alpha=153.84 beta=153.84 gamma=37.34
Atoms (fractional coordinates):
K1 0.000 0.000 0.000
K2 0.750 0.250 0.500
Sc1 0.250 0.750 0.500
Sc2 0.500 0.500 0.000
Tc1 0.301 0.125 0.676
Tc2 0.375 0.699 0.824
Tc3 0.449 0.625 0.324
Tc4 0.875 0.551 0.176



No. 3
## KSc2Tc (GGA-PBE)

Data for an optimized crystal structure of KSc2Tc.

Computed properties:
The calculation puts the formation energy at 26.8 kJ/mol of atoms. As for the calculated total energy: -23.014 eV/cell.

Unit cell a=11.039 b=11.039 c=11.039 alpha=17.33 beta=17.33 gamma=17.33
Atoms (fractional coordinates):
K1 0.000 0.000 0.000
Sc1 0.109 0.109 0.109
Sc2 0.891 0.891 0.891
Tc1 0.500 0.500 0.500



No. 4
## K2ScTc (GGA-PBE)

Data for an optimized crystal structure of K2ScTc.

Computed properties:
The calculation puts the formation energy at 107.6 kJ/mol of atoms. The value obtained for the energy above the most stable polymorph in this dataset is 564 meV/atom. As for the calculated total energy: -14.430 eV/cell.

Unit cell a=6.925 b=6.925 c=6.925 alpha=145.35 beta=145.35 gamma=49.81
Atoms (fractional coordinates):
K1 0.250 0.750 0.500
K2 0.750 0.250 0.500
Sc1 0.000 0.000 0.000
Tc1 0.500 0.500 0.000



No. 5
## KScTc3 (GGA-PBE)

Data for an optimized crystal structure of KScTc3.

Computed properties:
The calculation puts the formation energy at 248.9 kJ/mol of atoms. The value obtained for the energy above the most stable polymorph in this dataset is 658 meV/atom. As for the calculated total energy: -25.630 eV/cell.

Unit cell a=4.565 b=4.565 c=4.565 alpha=90.00 beta=90.00 gamma=90.00
Atoms (fractional coordinates):
K1 0.000 0.000 0.000
Sc1 0.500 0.500 0.500
Tc1 0.000 0.000 0.500
Tc2 0.000 0.500 0.000
Tc3 0.500 0.000 0.000



No. 6
## KScTc2 (GGA-PBE)

Data for an optimized crystal structure of KScTc2.

Computed properties:
The calculation puts the formation energy at 70.9 kJ/mol of atoms. The value obtained for the energy above the most stable polymorph in this dataset is 356 meV/atom. As for the calculated total energy: -25.221 eV/cell.

Unit cell a=2.734 b=2.734 c=10.369 alpha=90.00 beta=90.00 gamma=90.00
Atoms (fractional coordinates):
K1 0.000 0.000 0.000
Sc1 0.000 0.000 0.500
Tc1 0.500 0.500 0.285
Tc2 0.500 0.500 0.715



The lowest calculated total energy belongs to which entry? number 2



What is the formula in the third record? KSc2Tc



Among the records above, which one has the highest calculated total energy? K2ScTc